First-principles (PBE) data for a geometry-optimized PaZnOs structure, as listed in the Alexandria database.

CIF file:
```
data_PaZnOs
_cell_length_a 4.338
_cell_length_b 5.407
_cell_length_c 5.329
_cell_angle_alpha 90.00
_cell_angle_beta 90.00
_cell_angle_gamma 113.65
_space_group_name_H-M_alt 'P 1'
_space_group_IT_number 1
loop_
_space_group_symop_operation_xyz
'x,y,z'
loop_
_atom_site_label
_atom_site_type_symbol
_atom_site_fract_x
_atom_site_fract_y
_atom_site_fract_z
_atom_site_occupancy
Pa1 Pa 0.803 0.607 0.250 1
Pa2 Pa 0.197 0.393 0.750 1
Zn1 Zn 0.500 0.000 0.000 1
Zn2 Zn 0.500 0.000 0.500 1
Os1 Os 0.111 0.222 0.250 1
Os2 Os 0.889 0.778 0.750 1
```

Properties
Magnetic moment, μB per atom: 0.000
Excess energy over the best structure of this formula in the dataset, meV per atom: 0.0


First-principles (PBE) data for a geometry-optimized Pa2Zn16Os structure, as listed in the Alexandria database.

CIF file:
```
data_Pa2Zn16Os
_cell_length_a 6.772
_cell_length_b 6.772
_cell_length_c 6.772
_cell_angle_alpha 83.43
_cell_angle_beta 83.43
_cell_angle_gamma 83.43
_space_group_name_H-M_alt 'P 1'
_space_group_IT_number 1
loop_
_space_group_symop_operation_xyz
'x,y,z'
loop_
_atom_site_label
_atom_site_type_symbol
_atom_site_fract_x
_atom_site_fract_y
_atom_site_fract_z
_atom_site_occupancy
Zn1 Zn 0.998 0.710 0.286 1
Zn2 Zn 0.159 0.647 0.647 1
Zn3 Zn 0.286 0.710 0.998 1
Zn4 Zn 0.838 0.359 0.359 1
Zn5 Zn 0.002 0.002 0.496 1
Zn6 Zn 0.286 0.998 0.710 1
Zn7 Zn 0.710 0.998 0.286 1
Zn8 Zn 0.998 0.286 0.710 1
Zn9 Zn 0.647 0.647 0.159 1
Zn10 Zn 0.647 0.159 0.647 1
Zn11 Zn 0.101 0.101 0.101 1
Zn12 Zn 0.002 0.496 0.002 1
Zn13 Zn 0.359 0.838 0.359 1
Zn14 Zn 0.710 0.286 0.998 1
Zn15 Zn 0.359 0.359 0.838 1
Zn16 Zn 0.496 0.002 0.002 1
Pa1 Pa 0.680 0.680 0.680 1
Pa2 Pa 0.343 0.343 0.343 1
Os1 Os 0.880 0.880 0.880 1
```

Properties
Magnetic moment, μB per atom: 0.031
E_tot, eV for the cell shown: -52.52


First-principles (PBE) data for a geometry-optimized PaZnOs structure, as listed in the Alexandria database.

CIF file:
```
data_PaZnOs
_cell_length_a 3.263
_cell_length_b 4.477
_cell_length_c 4.477
_cell_angle_alpha 120.00
_cell_angle_beta 90.00
_cell_angle_gamma 90.00
_space_group_name_H-M_alt 'P 1'
_space_group_IT_number 1
loop_
_space_group_symop_operation_xyz
'x,y,z'
loop_
_atom_site_label
_atom_site_type_symbol
_atom_site_fract_x
_atom_site_fract_y
_atom_site_fract_z
_atom_site_occupancy
Pa1 Pa 0.667 0.333 0.667 1
Zn1 Zn 0.167 0.667 0.333 1
Os1 Os 0.167 0.000 0.000 1
```

Properties
Magnetic moment, μB per atom: 0.000
Excess energy over the best structure of this formula in the dataset, meV per atom: 176.5


First-principles (PBE) data for a geometry-optimized PaZn11Os structure, as listed in the Alexandria database.

CIF file:
```
data_PaZn11Os
_cell_length_a 5.163
_cell_length_b 6.744
_cell_length_c 6.966
_cell_angle_alpha 81.24
_cell_angle_beta 68.25
_cell_angle_gamma 65.73
_space_group_name_H-M_alt 'P 1'
_space_group_IT_number 1
loop_
_space_group_symop_operation_xyz
'x,y,z'
loop_
_atom_site_label
_atom_site_type_symbol
_atom_site_fract_x
_atom_site_fract_y
_atom_site_fract_z
_atom_site_occupancy
Zn1 Zn 0.282 0.216 0.219 1
Zn2 Zn 0.976 0.357 0.651 1
Zn3 Zn 0.000 0.500 0.000 1
Zn4 Zn 0.024 0.643 0.349 1
Zn5 Zn 0.718 0.784 0.781 1
Zn6 Zn 0.627 0.357 0.349 1
Zn7 Zn 0.000 0.000 0.500 1
Zn8 Zn 0.501 0.216 0.781 1
Zn9 Zn 0.499 0.784 0.219 1
Zn10 Zn 0.373 0.643 0.651 1
Zn11 Zn 0.500 0.000 0.500 1
Pa1 Pa 0.000 0.000 0.000 1
Os1 Os 0.500 0.500 0.000 1
```

Properties
Magnetic moment, μB per atom: 0.000
E_tot, eV for the cell shown: -35.42


First-principles (PBE) data for a geometry-optimized ZrPaOs4 structure, as listed in the Alexandria database.

CIF file:
```
data_ZrPaOs4
_cell_length_a 5.321
_cell_length_b 5.321
_cell_length_c 5.321
_cell_angle_alpha 60.00
_cell_angle_beta 60.00
_cell_angle_gamma 60.00
_space_group_name_H-M_alt 'P 1'
_space_group_IT_number 1
loop_
_space_group_symop_operation_xyz
'x,y,z'
loop_
_atom_site_label
_atom_site_type_symbol
_atom_site_fract_x
_atom_site_fract_y
_atom_site_fract_z
_atom_site_occupancy
Os1 Os 0.625 0.625 0.124 1
Os2 Os 0.625 0.124 0.625 1
Os3 Os 0.124 0.625 0.625 1
Os4 Os 0.625 0.625 0.625 1
Pa1 Pa 0.250 0.250 0.250 1
Zr1 Zr 0.000 0.000 0.000 1
```

Properties
Magnetic moment, μB per atom: 0.000
E_tot, eV for the cell shown: -64.48


First-principles (PBE) data for a geometry-optimized ZrPaOs structure, as listed in the Alexandria database.

CIF file:
```
data_ZrPaOs
_cell_length_a 3.528
_cell_length_b 3.528
_cell_length_c 5.629
_cell_angle_alpha 108.27
_cell_angle_beta 108.27
_cell_angle_gamma 90.00
_space_group_name_H-M_alt 'P 1'
_space_group_IT_number 1
loop_
_space_group_symop_operation_xyz
'x,y,z'
loop_
_atom_site_label
_atom_site_type_symbol
_atom_site_fract_x
_atom_site_fract_y
_atom_site_fract_z
_atom_site_occupancy
Zr1 Zr 0.008 0.008 0.015 1
Os1 Os 0.682 0.682 0.364 1
Pa1 Pa 0.310 0.310 0.621 1
```

Properties
Magnetic moment, μB per atom: 0.000
Excess energy over the best structure of this formula in the dataset, meV per atom: 127.4


First-principles (PBE) data for a geometry-optimized Zr4PaOs structure, as listed in the Alexandria database.

CIF file:
```
data_Zr4PaOs
_cell_length_a 4.937
_cell_length_b 5.788
_cell_length_c 5.853
_cell_angle_alpha 61.96
_cell_angle_beta 65.06
_cell_angle_gamma 64.76
_space_group_name_H-M_alt 'P 1'
_space_group_IT_number 1
loop_
_space_group_symop_operation_xyz
'x,y,z'
loop_
_atom_site_label
_atom_site_type_symbol
_atom_site_fract_x
_atom_site_fract_y
_atom_site_fract_z
_atom_site_occupancy
Zr1 Zr 0.316 0.547 0.821 1
Zr2 Zr 0.684 0.453 0.179 1
Zr3 Zr 0.657 0.986 0.701 1
Zr4 Zr 0.343 0.014 0.299 1
Os1 Os 0.000 0.000 0.000 1
Pa1 Pa 0.000 0.500 0.500 1
```

Properties
Magnetic moment, μB per atom: 0.000
E_tot, eV for the cell shown: -55.69


First-principles (PBE) data for a geometry-optimized ZrPaOs structure, as listed in the Alexandria database.

CIF file:
```
data_ZrPaOs
_cell_length_a 4.658
_cell_length_b 4.658
_cell_length_c 4.658
_cell_angle_alpha 60.00
_cell_angle_beta 60.00
_cell_angle_gamma 60.00
_space_group_name_H-M_alt 'P 1'
_space_group_IT_number 1
loop_
_space_group_symop_operation_xyz
'x,y,z'
loop_
_atom_site_label
_atom_site_type_symbol
_atom_site_fract_x
_atom_site_fract_y
_atom_site_fract_z
_atom_site_occupancy
Pa1 Pa 0.500 0.500 0.500 1
Os1 Os 0.250 0.250 0.250 1
Zr1 Zr 0.000 0.000 0.000 1
```

Properties
Magnetic moment, μB per atom: 0.000
Excess energy over the best structure of this formula in the dataset, meV per atom: 267.6


First-principles (PBE) data for a geometry-optimized ZrPaOs structure, as listed in the Alexandria database.

CIF file:
```
data_ZrPaOs
_cell_length_a 5.799
_cell_length_b 5.535
_cell_length_c 5.535
_cell_angle_alpha 74.18
_cell_angle_beta 58.41
_cell_angle_gamma 58.41
_space_group_name_H-M_alt 'P 1'
_space_group_IT_number 1
loop_
_space_group_symop_operation_xyz
'x,y,z'
loop_
_atom_site_label
_atom_site_type_symbol
_atom_site_fract_x
_atom_site_fract_y
_atom_site_fract_z
_atom_site_occupancy
Os1 Os 0.508 0.964 0.580 1
Os2 Os 0.008 0.964 0.580 1
Zr1 Zr 0.400 0.167 0.093 1
Zr2 Zr 0.900 0.477 0.783 1
Pa1 Pa 0.569 0.474 0.447 1
Pa2 Pa 0.069 0.831 0.091 1
```

Properties
Magnetic moment, μB per atom: 0.000
Excess energy over the best structure of this formula in the dataset, meV per atom: 0.0


First-principles (PBE) data for a geometry-optimized ZrPaOs structure, as listed in the Alexandria database.

CIF file:
```
data_ZrPaOs
_cell_length_a 4.475
_cell_length_b 4.475
_cell_length_c 7.918
_cell_angle_alpha 73.59
_cell_angle_beta 73.59
_cell_angle_gamma 60.00
_space_group_name_H-M_alt 'P 1'
_space_group_IT_number 1
loop_
_space_group_symop_operation_xyz
'x,y,z'
loop_
_atom_site_label
_atom_site_type_symbol
_atom_site_fract_x
_atom_site_fract_y
_atom_site_fract_z
_atom_site_occupancy
Zr1 Zr 0.363 0.363 0.910 1
Zr2 Zr 0.637 0.637 0.090 1
Os1 Os 0.933 0.933 0.200 1
Os2 Os 0.067 0.067 0.800 1
Pa1 Pa 0.797 0.797 0.610 1
Pa2 Pa 0.203 0.203 0.390 1
```

Properties
Magnetic moment, μB per atom: 0.000
Excess energy over the best structure of this formula in the dataset, meV per atom: 111.7


First-principles (PBE) data for a geometry-optimized Os5Pb3 structure, as listed in the Alexandria database.

CIF file:
```
data_Os5Pb3
_cell_length_a 5.692
_cell_length_b 5.692
_cell_length_c 4.634
_cell_angle_alpha 90.00
_cell_angle_beta 90.00
_cell_angle_gamma 107.69
_space_group_name_H-M_alt 'P 1'
_space_group_IT_number 1
loop_
_space_group_symop_operation_xyz
'x,y,z'
loop_
_atom_site_label
_atom_site_type_symbol
_atom_site_fract_x
_atom_site_fract_y
_atom_site_fract_z
_atom_site_occupancy
Os1 Os 0.500 0.000 0.000 1
Os2 Os 0.211 0.211 0.500 1
Os3 Os 0.000 0.500 0.000 1
Os4 Os 0.000 0.000 0.000 1
Os5 Os 0.789 0.789 0.500 1
Pb1 Pb 0.262 0.738 0.500 1
Pb2 Pb 0.500 0.500 0.000 1
Pb3 Pb 0.738 0.262 0.500 1
```

Properties
Magnetic moment, μB per atom: 0.176
Excess energy over the best structure of this formula in the dataset, meV per atom: 0.0


First-principles (PBE) data for a geometry-optimized Os4Pb5 structure, as listed in the Alexandria database.

CIF file:
```
data_Os4Pb5
_cell_length_a 8.355
_cell_length_b 8.355
_cell_length_c 6.199
_cell_angle_alpha 90.00
_cell_angle_beta 90.00
_cell_angle_gamma 120.00
_space_group_name_H-M_alt 'P 1'
_space_group_IT_number 1
loop_
_space_group_symop_operation_xyz
'x,y,z'
loop_
_atom_site_label
_atom_site_type_symbol
_atom_site_fract_x
_atom_site_fract_y
_atom_site_fract_z
_atom_site_occupancy
Pb1 Pb 0.728 0.728 0.750 1
Pb2 Pb 0.667 0.333 0.500 1
Pb3 Pb 0.000 0.728 0.250 1
Pb4 Pb 0.728 0.000 0.250 1
Pb5 Pb 0.667 0.333 0.000 1
Pb6 Pb 0.333 0.667 0.500 1
Pb7 Pb 0.272 0.272 0.250 1
Pb8 Pb 0.272 0.000 0.750 1
Pb9 Pb 0.000 0.272 0.750 1
Pb10 Pb 0.333 0.667 0.000 1
Os1 Os 0.000 0.000 0.500 1
Os2 Os 0.408 0.408 0.750 1
Os3 Os 0.000 0.592 0.750 1
Os4 Os 0.000 0.000 0.000 1
Os5 Os 0.592 0.000 0.750 1
Os6 Os 0.592 0.592 0.250 1
Os7 Os 0.408 0.000 0.250 1
Os8 Os 0.000 0.408 0.250 1
```

Properties
Magnetic moment, μB per atom: 0.000
E_tot, eV for the cell shown: -105.51


Question: Among the records above, which one has the highest magnetic moment?
Answer: Os5Pb3


What did the tenth record say?
First-principles (PBE) data for a geometry-optimized ZrPaOs structure, as listed in the Alexandria database.

CIF file:
```
data_ZrPaOs
_cell_length_a 4.475
_cell_length_b 4.475
_cell_length_c 7.918
_cell_angle_alpha 73.59
_cell_angle_beta 73.59
_cell_angle_gamma 60.00
_space_group_name_H-M_alt 'P 1'
_space_group_IT_number 1
loop_
_space_group_symop_operation_xyz
'x,y,z'
loop_
_atom_site_label
_atom_site_type_symbol
_atom_site_fract_x
_atom_site_fract_y
_atom_site_fract_z
_atom_site_occupancy
Zr1 Zr 0.363 0.363 0.910 1
Zr2 Zr 0.637 0.637 0.090 1
Os1 Os 0.933 0.933 0.200 1
Os2 Os 0.067 0.067 0.800 1
Pa1 Pa 0.797 0.797 0.610 1
Pa2 Pa 0.203 0.203 0.390 1
```

Properties
Magnetic moment, μB per atom: 0.000
Excess energy over the best structure of this formula in the dataset, meV per atom: 111.7


Please write out number 1 again, unchanged.
First-principles (PBE) data for a geometry-optimized PaZnOs structure, as listed in the Alexandria database.

CIF file:
```
data_PaZnOs
_cell_length_a 4.338
_cell_length_b 5.407
_cell_length_c 5.329
_cell_angle_alpha 90.00
_cell_angle_beta 90.00
_cell_angle_gamma 113.65
_space_group_name_H-M_alt 'P 1'
_space_group_IT_number 1
loop_
_space_group_symop_operation_xyz
'x,y,z'
loop_
_atom_site_label
_atom_site_type_symbol
_atom_site_fract_x
_atom_site_fract_y
_atom_site_fract_z
_atom_site_occupancy
Pa1 Pa 0.803 0.607 0.250 1
Pa2 Pa 0.197 0.393 0.750 1
Zn1 Zn 0.500 0.000 0.000 1
Zn2 Zn 0.500 0.000 0.500 1
Os1 Os 0.111 0.222 0.250 1
Os2 Os 0.889 0.778 0.750 1
```

Properties
Magnetic moment, μB per atom: 0.000
Excess energy over the best structure of this formula in the dataset, meV per atom: 0.0